No. 1
PBE-GGA CeBeRuN, optimized geometry; mass density = 7818 kg/m³; ΔE_f (raw) = -0.823 eV/atom; N(E_F) = 8.2 states/eV per cell
1.0
3.673 0.000 0.000
0.000 3.673 0.000
0.000 0.000 8.317
Ce Be Ru N
2 2 2 2
direct
0.250 0.250 0.157
0.750 0.750 0.843
0.250 0.250 0.680
0.750 0.750 0.320
0.250 0.750 0.500
0.750 0.250 0.500
0.250 0.250 0.875
0.750 0.750 0.125



No. 2
PBE-GGA CeScBeN3, optimized geometry; mass density = 5411 kg/m³; ΔE_f (raw) = -1.383 eV/atom; N(E_F) = 0.0 states/eV per cell
1.0
6.734 0.000 0.000
0.000 3.214 0.000
-1.444 0.000 6.696
Ce Sc Be N
2 2 2 6
direct
0.218 0.250 0.187
0.782 0.750 0.813
0.171 0.250 0.658
0.829 0.750 0.342
0.400 0.750 0.917
0.600 0.250 0.083
0.140 0.750 0.881
0.166 0.750 0.421
0.486 0.250 0.834
0.514 0.750 0.166
0.834 0.250 0.579
0.860 0.250 0.119



No. 3
PBE-GGA CeBe2SiN, optimized geometry; mass density = 5095 kg/m³; ΔE_f (raw) = -0.713 eV/atom; N(E_F) = 9.4 states/eV per cell
1.0
1.877 -5.354 0.000
1.877 5.354 0.000
0.000 0.000 6.493
Ce Be Si N
2 4 2 2
direct
0.057 0.943 0.750
0.943 0.057 0.250
0.354 0.646 0.571
0.354 0.646 0.929
0.646 0.354 0.071
0.646 0.354 0.429
0.221 0.779 0.250
0.779 0.221 0.750
0.500 0.500 0.000
0.500 0.500 0.500



No. 4
PBE-GGA CeSmBeN3, optimized geometry; mass density = 6821 kg/m³; ΔE_f (raw) = -1.272 eV/atom
1.0
6.866 0.000 0.000
0.000 3.376 0.000
-0.981 0.000 7.174
Ce Sm Be N
2 2 2 6
direct
0.193 0.250 0.149
0.807 0.750 0.851
0.206 0.250 0.661
0.794 0.750 0.339
0.404 0.750 0.425
0.596 0.250 0.575
0.148 0.750 0.908
0.154 0.750 0.380
0.498 0.250 0.347
0.502 0.750 0.653
0.846 0.250 0.620
0.852 0.250 0.092



No. 5
PBE-GGA CeTa2BeN4, optimized geometry; mass density = 10636 kg/m³; ΔE_f (raw) = -1.214 eV/atom; N(E_F) = 9.7 states/eV per cell
1.0
1.588 -5.355 0.000
1.588 5.355 0.000
0.000 0.000 10.414
Ce Ta Be N
2 4 2 8
direct
0.094 0.906 0.750
0.906 0.094 0.250
0.375 0.625 0.549
0.375 0.625 0.951
0.625 0.375 0.049
0.625 0.375 0.451
0.177 0.823 0.250
0.823 0.177 0.750
0.000 0.000 0.000
0.000 0.000 0.500
0.262 0.738 0.116
0.262 0.738 0.384
0.412 0.588 0.750
0.588 0.412 0.250
0.738 0.262 0.616
0.738 0.262 0.884



No. 6
PBE-GGA CeTaBe2N4, optimized geometry; mass density = 7276 kg/m³; ΔE_f (raw) = -0.938 eV/atom; N(E_F) = 4.0 states/eV per cell
1.0
-2.507 2.633 3.414
2.507 -2.633 3.414
2.507 2.633 -3.414
Ce Ta Be N
1 1 2 4
direct
0.000 0.000 0.000
0.500 0.500 0.000
0.256 0.756 0.500
0.744 0.244 0.500
0.133 0.085 0.572
0.486 0.915 0.048
0.514 0.561 0.428
0.867 0.439 0.952



No. 7
PBE-GGA CeTaBeN3, optimized geometry; mass density = 8775 kg/m³; ΔE_f (raw) = -1.229 eV/atom; N(E_F) = 6.3 states/eV per cell
1.0
6.729 0.000 0.000
0.000 3.135 0.000
-1.795 0.000 6.675
Ce Ta Be N
2 2 2 6
direct
0.194 0.250 0.224
0.806 0.750 0.776
0.338 0.750 0.845
0.662 0.250 0.155
0.084 0.250 0.596
0.916 0.750 0.404
0.113 0.250 0.853
0.176 0.750 0.528
0.449 0.750 0.174
0.551 0.250 0.826
0.824 0.250 0.472
0.887 0.750 0.147



No. 8
PBE-GGA Tb2CeBeN4, optimized geometry; mass density = 8002 kg/m³; ΔE_f (raw) = -1.358 eV/atom
1.0
1.711 -5.567 0.000
1.711 5.567 0.000
0.000 0.000 11.395
Tb Ce Be N
4 2 2 8
direct
0.132 0.868 0.555
0.132 0.868 0.945
0.868 0.132 0.055
0.868 0.132 0.445
0.404 0.596 0.750
0.596 0.404 0.250
0.313 0.687 0.250
0.687 0.313 0.750
0.056 0.944 0.750
0.229 0.771 0.132
0.229 0.771 0.368
0.500 0.500 0.000
0.500 0.500 0.500
0.771 0.229 0.632
0.771 0.229 0.868
0.944 0.056 0.250